A relaxed K2TcP crystal, computed with PBE.

abc: 6.134 6.134 6.134
angles: 141.46 141.10 55.91
Site moments in Bohr magnetons follow the coordinates.
Positions (direct):
P 0.750 0.250 0.500  0.02
Tc 0.250 0.750 0.500  2.37
K 0.996 0.996 0.000  0.00
K 0.504 0.504 0.000  0.00

Calculated values
calculated density: 3.8 g/cm3
space-group type: Immm, No. 71
E_form: 0.845 eV per atom
calculated total energy: -14.59 eV for the cell shown

A relaxed KTc2P crystal, computed with PBE.

abc: 2.919 2.919 8.625
angles: 90.00 90.00 90.00
Site moments in Bohr magnetons follow the coordinates.
Positions (direct):
Tc 0.000 0.000 0.977  -0.02
K 0.000 0.000 0.527  0.02
Tc 0.500 0.500 0.179  0.62
P 0.500 0.500 0.817  0.02

Calculated values
calculated density: 6.0 g/cm3
space-group type: P4mm, No. 99
E_form: 0.260 eV per atom
calculated total energy: -26.20 eV for the cell shown

A relaxed KTc2P crystal, computed with PBE.

abc: 5.931 5.931 5.931
angles: 153.10 123.34 63.80
Positions (direct):
P 0.795 0.295 0.500
K 0.514 0.514 0.000
Tc 0.201 0.701 0.500
Tc 0.990 0.990 0.000

Calculated values
calculated density: 5.7 g/cm3
space-group type: Imm2, No. 44
E_form: 0.904 eV per atom
calculated total energy: -23.62 eV for the cell shown

A relaxed KTc2P crystal, computed with PBE.

abc: 5.241 5.241 6.114
angles: 73.82 73.82 32.16
Site moments in Bohr magnetons follow the coordinates.
Positions (direct):
P 0.250 0.250 0.250  -0.01
Tc 0.558 0.558 0.366  0.25
K 0.750 0.750 0.750  0.00
Tc 0.942 0.942 0.134  0.25

Calculated values
calculated density: 5.2 g/cm3
space-group type: C2/m, No. 12
E_form: 0.481 eV per atom
calculated total energy: -25.31 eV for the cell shown

A relaxed KTcP crystal, computed with PBE.

abc: 4.379 4.379 4.379
angles: 60.00 60.00 60.00
Positions (direct):
K 0.000 0.000 0.000
P 0.500 0.500 0.500
Tc 0.250 0.250 0.250

Calculated values
calculated density: 4.7 g/cm3
space-group type: F-43m, No. 216
E_form: 1.017 eV per atom
calculated total energy: -13.82 eV for the cell shown
ΔE to the lowest computed polymorph: 1412 meV/atom

A relaxed K2TcP crystal, computed with PBE.

abc: 4.045 4.047 5.413
angles: 90.00 90.00 90.00
Site moments in Bohr magnetons follow the coordinates.
Positions (direct):
K 0.500 0.500 0.000  0.00
P 0.500 0.000 0.500  0.03
K 0.000 0.000 0.000  0.00
Tc 0.000 0.500 0.500  2.27

Calculated values
calculated density: 3.9 g/cm3
space-group type: P4/mmm, No. 123
E_form: 0.842 eV per atom
calculated total energy: -14.60 eV for the cell shown

A relaxed K2TcP crystal, computed with PBE.

abc: 11.457 11.457 11.457
angles: 14.98 14.98 14.98
Site moments in Bohr magnetons follow the coordinates.
Positions (direct):
K 0.505 0.505 0.505  0.00
K 0.995 0.995 0.995  0.00
Tc 0.750 0.750 0.750  0.88
P 0.250 0.250 0.250  0.12

Calculated values
calculated density: 3.9 g/cm3
space-group type: R-3m, No. 166
E_form: 1.032 eV per atom
calculated total energy: -13.84 eV for the cell shown

A relaxed KVTcP2 crystal, computed with PBE.

abc: 4.705 4.627 4.705
angles: 90.00 90.00 90.00
Site moments in Bohr magnetons follow the coordinates.
Positions (direct):
K 0.500 0.500 0.500  0.02
V 0.000 0.000 0.000  -0.25
Tc 0.000 0.500 0.000  1.77
P 0.000 0.000 0.500  0.01
P 0.500 0.000 0.000  0.02

Calculated values
calculated density: 4.1 g/cm3
space-group type: P4/mmm, No. 123
E_form: 0.584 eV per atom
calculated total energy: -28.48 eV for the cell shown

A relaxed KV2TcP crystal, computed with PBE.

abc: 4.152 4.958 4.152
angles: 90.00 90.00 90.00
Positions (direct):
Tc 0.500 0.500 0.500
V 0.000 0.000 0.500
K 0.000 0.000 0.000
P 0.000 0.500 0.000
V 0.500 0.000 0.000

Calculated values
calculated density: 5.2 g/cm3
space-group type: P4/mmm, No. 123
E_form: 2.673 eV per atom
calculated total energy: -21.74 eV for the cell shown

A relaxed KZr2TcP crystal, computed with PBE.

abc: 4.881 4.377 4.881
angles: 90.00 90.00 90.00
Positions (direct):
Zr 0.500 0.000 0.000
Tc 0.000 0.500 0.000
K 0.000 0.000 0.000
P 0.500 0.500 0.500
Zr 0.000 0.000 0.500

Calculated values
calculated density: 5.6 g/cm3
space-group type: P4/mmm, No. 123
E_form: 2.224 eV per atom
calculated total energy: -22.85 eV for the cell shown

A relaxed KTeP2 crystal, computed with PBE.

abc: 7.669 7.669 6.970
angles: 56.62 56.62 90.00
Site moments in Bohr magnetons follow the coordinates.
Positions (direct):
P 0.049 0.625 0.250  0.14
K 0.250 0.750 0.500  0.01
K 0.500 0.500 0.000  0.01
P 0.875 0.951 0.750  0.13
Te 0.750 0.250 0.500  0.02
P 0.701 0.125 0.250  0.14
Te 0.000 0.000 0.000  0.02
P 0.375 0.299 0.750  0.12

Calculated values
ΔE_f (raw): 270 meV per atom
calculated density: 2.9 g/cm3
space-group type: I-42d, No. 122
calculated total energy: -27.96 eV for the cell shown

A relaxed KTe2P crystal, computed with PBE.

abc: 4.123 4.123 8.195
angles: 90.00 90.00 90.00
Positions (direct):
K 0.000 0.000 0.449
P 0.500 0.500 0.939
Te 0.000 0.000 0.877
Te 0.500 0.500 0.235

Calculated values
ΔE_f (raw): -158 meV per atom
calculated density: 3.9 g/cm3
space-group type: P4mm, No. 99
calculated total energy: -13.42 eV for the cell shown

A relaxed KTeP2 crystal, computed with PBE.

abc: 5.969 5.969 2.949
angles: 81.11 81.11 114.40
Positions (direct):
P 0.500 0.500 0.000
P 0.000 0.000 0.000
Te 0.500 0.000 0.500
K 0.000 0.500 0.500

Calculated values
ΔE_f (raw): 469 meV per atom
calculated density: 4.1 g/cm3
space-group type: C2/m, No. 12
calculated total energy: -13.18 eV for the cell shown

A relaxed K3Te3P crystal, computed with PBE.

abc: 13.296 9.205 9.707
angles: 66.67 90.00 90.00
Positions (direct):
Te 0.984 0.157 0.585
K 0.941 0.728 0.806
Te 0.821 0.758 0.125
K 0.342 0.492 0.997
Te 0.516 0.157 0.085
Te 0.123 0.682 0.099
P 0.006 0.135 0.855
P 0.994 0.865 0.145
Te 0.877 0.318 0.901
K 0.776 0.056 0.284
K 0.724 0.056 0.784
K 0.276 0.944 0.216
P 0.494 0.135 0.355
Te 0.484 0.843 0.915
Te 0.377 0.682 0.599
Te 0.321 0.242 0.375
K 0.059 0.272 0.194
K 0.559 0.728 0.306
Te 0.016 0.843 0.415
K 0.158 0.492 0.497
P 0.506 0.865 0.645
K 0.658 0.508 0.003
K 0.441 0.272 0.694
Te 0.623 0.318 0.401
K 0.224 0.944 0.716
Te 0.679 0.758 0.625
K 0.842 0.508 0.503
Te 0.179 0.242 0.875

Calculated values
ΔE_f (raw): -678 meV per atom
calculated density: 3.2 g/cm3
space-group type: P2_1/c, No. 14
calculated total energy: -91.51 eV for the cell shown
ΔE to the lowest computed polymorph: 16 meV/atom

A relaxed KTeP3 crystal, computed with PBE.

abc: 5.233 5.233 5.233
angles: 90.00 90.00 90.00
Site moments in Bohr magnetons follow the coordinates.
Positions (direct):
P 0.000 0.000 0.500  0.24
P 0.500 0.000 0.000  0.14
P 0.000 0.500 0.000  0.18
Te 0.000 0.000 0.000  -0.01
K 0.500 0.500 0.500  0.01

Calculated values
ΔE_f (raw): 766 meV per atom
calculated density: 3.0 g/cm3
space-group type: Pm-3m, No. 221
calculated total energy: -16.64 eV for the cell shown

A relaxed K2TeP crystal, computed with PBE.

abc: 6.253 6.253 6.253
angles: 133.79 133.79 67.42
Positions (direct):
Te 0.750 0.250 0.500
K 0.250 0.750 0.500
K 0.000 0.000 0.000
P 0.500 0.500 0.000

Calculated values
ΔE_f (raw): -74 meV per atom
calculated density: 3.1 g/cm3
space-group type: I-4m2, No. 119
calculated total energy: -11.04 eV for the cell shown
ΔE to the lowest computed polymorph: 346 meV/atom

A relaxed K2TeP crystal, computed with PBE.

abc: 6.116 6.116 6.055
angles: 134.44 134.39 67.31
Positions (direct):
K 0.000 0.000 0.000
K 0.500 0.500 0.000
Te 0.250 0.750 0.500
P 0.750 0.250 0.500

Calculated values
ΔE_f (raw): -258 meV per atom
calculated density: 3.5 g/cm3
space-group type: Fmmm, No. 69
calculated total energy: -11.78 eV for the cell shown
ΔE to the lowest computed polymorph: 162 meV/atom

A relaxed K5TeP crystal, computed with PBE.

abc: 5.556 5.556 8.645
angles: 90.00 90.00 90.00
Positions (direct):
K 0.000 0.500 0.200
P 0.500 0.500 0.000
K 0.500 0.000 0.800
K 0.000 0.500 0.800
K 0.500 0.000 0.200
K 0.500 0.500 0.500
Te 0.000 0.000 0.500

Calculated values
ΔE_f (raw): -557 meV per atom
calculated density: 2.2 g/cm3
space-group type: P4/mmm, No. 123
calculated total energy: -17.94 eV for the cell shown

A relaxed KTeP2 crystal, computed with PBE.

abc: 8.293 8.293 8.293
angles: 27.14 27.14 27.14
Positions (direct):
P 0.981 0.981 0.981
P 0.519 0.519 0.519
K 0.750 0.750 0.750
Te 0.250 0.250 0.250

Calculated values
ΔE_f (raw): 155 meV per atom
calculated density: 3.6 g/cm3
space-group type: R-3m, No. 166
calculated total energy: -14.44 eV for the cell shown

A relaxed K6TeP2 crystal, computed with PBE.

abc: 10.171 8.095 10.086
angles: 70.68 90.00 90.00
Site moments in Bohr magnetons follow the coordinates.
Positions (direct):
K 0.960 0.053 0.653  0.01
K 0.287 0.160 0.126  0.00
K 0.540 0.553 0.653  0.01
K 0.713 0.840 0.874  0.00
K 0.460 0.447 0.347  0.01
Te 0.000 0.000 0.000  0.01
P 0.154 0.299 0.407  0.38
K 0.643 0.989 0.364  0.01
K 0.857 0.489 0.364  0.01
K 0.357 0.011 0.636  0.01
P 0.654 0.201 0.593  0.38
P 0.846 0.701 0.593  0.38
K 0.143 0.511 0.636  0.01
K 0.040 0.947 0.347  0.01
K 0.213 0.660 0.126  0.00
K 0.787 0.340 0.874  0.00
P 0.346 0.799 0.407  0.38
Te 0.500 0.500 0.000  0.01

Calculated values
ΔE_f (raw): -323 meV per atom
calculated density: 1.8 g/cm3
space-group type: P2_1/c, No. 14
calculated total energy: -46.91 eV for the cell shown
ΔE to the lowest computed polymorph: 0 meV/atom

A relaxed KTe2P crystal, computed with PBE.

abc: 8.810 6.527 3.101
angles: 71.82 96.34 134.52
Positions (direct):
Te 0.000 0.000 0.000
K 0.000 0.500 0.500
P 0.500 0.500 0.000
Te 0.500 0.000 0.500

Calculated values
ΔE_f (raw): 120 meV per atom
calculated density: 4.5 g/cm3
space-group type: C2/m, No. 12
calculated total energy: -12.31 eV for the cell shown

A relaxed KTe2P crystal, computed with PBE.

abc: 6.106 6.106 6.106
angles: 135.64 135.64 64.53
Positions (direct):
P 0.750 0.250 0.500
Te 0.000 0.000 0.000
Te 0.500 0.500 0.000
K 0.250 0.750 0.500

Calculated values
ΔE_f (raw): 247 meV per atom
calculated density: 4.9 g/cm3
space-group type: I4/mmm, No. 139
calculated total energy: -11.80 eV for the cell shown

A relaxed KTeP2 crystal, computed with PBE.

abc: 6.618 7.141 10.168
angles: 90.44 90.00 90.00
Positions (direct):
K 0.750 0.232 0.992
P 0.750 0.495 0.700
K 0.250 0.768 0.008
K 0.750 0.026 0.613
Te 0.250 0.292 0.103
P 0.250 0.511 0.714
P 0.495 0.609 0.580
P 0.250 0.505 0.300
K 0.250 0.974 0.387
Te 0.250 0.163 0.736
P 0.005 0.609 0.580
P 0.505 0.391 0.420
P 0.995 0.391 0.420
Te 0.750 0.708 0.897
Te 0.750 0.837 0.264
P 0.750 0.489 0.286

Calculated values
ΔE_f (raw): -437 meV per atom
calculated density: 3.2 g/cm3
space-group type: P2_1/m, No. 11
calculated total energy: -67.23 eV for the cell shown

A relaxed KTeP2 crystal, computed with PBE.

abc: 3.520 3.520 8.201
angles: 90.00 90.00 101.60
Positions (direct):
Te 0.500 0.500 0.250
P 0.000 0.000 0.452
K 0.500 0.500 0.750
P 0.000 0.000 0.048

Calculated values
ΔE_f (raw): 442 meV per atom
calculated density: 3.8 g/cm3
space-group type: Cmmm, No. 65
calculated total energy: -13.29 eV for the cell shown

A relaxed KTe2P crystal, computed with PBE.

abc: 3.573 3.573 9.613
angles: 90.00 90.00 90.00
Positions (direct):
Te 0.000 0.000 0.902
Te 0.500 0.500 0.268
P 0.500 0.500 0.799
K 0.000 0.000 0.531

Calculated values
ΔE_f (raw): -110 meV per atom
calculated density: 4.4 g/cm3
space-group type: P4mm, No. 99
calculated total energy: -13.23 eV for the cell shown

A relaxed KTe2P crystal, computed with PBE.

abc: 8.549 8.549 8.549
angles: 28.32 28.32 28.32
Positions (direct):
Te 0.728 0.728 0.728
P 0.000 0.000 0.000
K 0.500 0.500 0.500
Te 0.272 0.272 0.272

Calculated values
ΔE_f (raw): -241 meV per atom
calculated density: 4.3 g/cm3
space-group type: R-3m, No. 166
calculated total energy: -13.76 eV for the cell shown

A relaxed KTeP2 crystal, computed with PBE.

abc: 3.507 3.507 8.402
angles: 90.00 90.00 90.00
Positions (direct):
P 0.500 0.500 0.123
P 0.000 0.000 0.162
K 0.500 0.500 0.747
Te 0.000 0.000 0.468

Calculated values
ΔE_f (raw): 74 meV per atom
calculated density: 3.7 g/cm3
space-group type: P4mm, No. 99
calculated total energy: -14.76 eV for the cell shown